# CsBa2ErCl8

CsBa2ErCl8 after structural relaxation (PBE, Alexandria via LeMat-Bulk).

Computed properties:
As for the energy relative to the elements, uncorrected: -2.330 eV per atom. The value obtained for the magnetic moment is 0.00 μB per cell. The value obtained for the mass density is 3.119 Mg/m³.

Cell lengths 6.8538, 6.8874, 9.6816 Å; angles 90.01, 90.04, 90.12 degrees
Last column: nearest neighbours and their distance in Å.
Fractional positions:
Cs (0.0000, 0.0000, 0.0000)  6 Cl 3.31-3.49
Ba (0.5002, 0.5001, 0.2549)  6 Cl 3.03-3.24
Ba (0.4998, 0.4999, 0.7451)  6 Cl 3.03-3.24
Er (0.0000, 0.0000, 0.5000)  6 Cl 2.62-2.69
Cl (0.2191, 0.8472, 0.3065)  1 Er 2.62
Cl (0.2197, 0.8479, 0.6937)  1 Er 2.62
Cl (0.2415, 0.3087, 0.4998)  1 Er 2.69
Cl (0.2632, 0.4031, 0.9999)  2 Ba 3.03, 1 Cs 3.31
Cl (0.7368, 0.5969, 0.0001)  2 Ba 3.03, 1 Cs 3.31
Cl (0.7585, 0.6913, 0.5002)  1 Er 2.69
Cl (0.7803, 0.1521, 0.3063)  1 Er 2.62
Cl (0.7809, 0.1528, 0.6935)  1 Er 2.62